a | # PBE SnPd5Pt, optimized geometry
# Size of the total moment, μB per formula unit: 0.0
data_SnPd5Pt
_chemical_formula_sum 'Sn1 Pd5 Pt1'
_cell_length_a 4.0780
_cell_length_b 4.0780
_cell_length_c 7.3315
_cell_angle_alpha 90.00
_cell_angle_beta 90.00
_cell_angle_gamma 90.00
_symmetry_space_group_name_H-M 'P 1'
_symmetry_Int_Tables_number 1
_symmetry_space_group_name_Hall 'P 1'
loop_
_atom_site_label
_atom_site_type_symbol
_atom_site_fract_x
_atom_site_fract_y
_atom_site_fract_z
Sn1 Sn 0.0000 0.0000 0.0000
Pd1 Pd 0.0000 0.5000 0.2675
Pd2 Pd 0.0000 0.5000 0.7325
Pd3 Pd 0.5000 0.0000 0.2675
Pd4 Pd 0.5000 0.0000 0.7325
Pd5 Pd 0.5000 0.5000 0.0000
Pt1 Pt 0.0000 0.0000 0.5000

***

b | # PBE SnPd5Pt, optimized geometry
# Size of the total moment, μB per formula unit: 0.0
data_SnPd5Pt
_chemical_formula_sum 'Sn2 Pd10 Pt2'
_cell_length_a 5.4204
_cell_length_b 5.4204
_cell_length_c 9.9121
_cell_angle_alpha 98.17
_cell_angle_beta 98.17
_cell_angle_gamma 56.35
_symmetry_space_group_name_H-M 'P 1'
_symmetry_Int_Tables_number 1
_symmetry_space_group_name_Hall 'P 1'
loop_
_atom_site_label
_atom_site_type_symbol
_atom_site_fract_x
_atom_site_fract_y
_atom_site_fract_z
Sn1 Sn 0.2400 0.7600 0.7500
Sn2 Sn 0.7600 0.2400 0.2500
Pd1 Pd 0.2171 0.2593 0.6852
Pd2 Pd 0.2593 0.2171 0.1852
Pd3 Pd 0.2656 0.7344 0.2500
Pd4 Pd 0.3381 0.3730 0.9576
Pd5 Pd 0.3730 0.3381 0.4576
Pd6 Pd 0.6270 0.6619 0.5424
Pd7 Pd 0.6619 0.6270 0.0424
Pd8 Pd 0.7344 0.2656 0.7500
Pd9 Pd 0.7407 0.7829 0.8148
Pd10 Pd 0.7829 0.7407 0.3148
Pt1 Pt 0.0000 0.0000 0.0000
Pt2 Pt 0.0000 0.0000 0.5000

***

What should be chosen as the most stable of them? Choose a.

***

a | # PBE SnPdPt4, optimized geometry
# Size of the total moment, μB per formula unit: 0.0
data_SnPdPt4
_chemical_formula_sum 'Sn1 Pd1 Pt4'
_cell_length_a 4.7096
_cell_length_b 4.7096
_cell_length_c 5.5137
_cell_angle_alpha 106.14
_cell_angle_beta 106.14
_cell_angle_gamma 109.40
_symmetry_space_group_name_H-M 'P 1'
_symmetry_Int_Tables_number 1
_symmetry_space_group_name_Hall 'P 1'
loop_
_atom_site_label
_atom_site_type_symbol
_atom_site_fract_x
_atom_site_fract_y
_atom_site_fract_z
Sn1 Sn 0.0000 0.0000 0.0000
Pd1 Pd 0.5000 0.5000 0.5000
Pt1 Pt 0.0595 0.4300 0.7454
Pt2 Pt 0.4300 0.0595 0.7454
Pt3 Pt 0.5700 0.9405 0.2546
Pt4 Pt 0.9405 0.5700 0.2546

***

b | # PBE SnPdPt4, optimized geometry
# Size of the total moment, μB per formula unit: 0.0
data_SnPdPt4
_chemical_formula_sum 'Sn2 Pd2 Pt8'
_cell_length_a 5.6394
_cell_length_b 6.2852
_cell_length_c 6.5026
_cell_angle_alpha 95.77
_cell_angle_beta 104.11
_cell_angle_gamma 115.41
_symmetry_space_group_name_H-M 'P 1'
_symmetry_Int_Tables_number 1
_symmetry_space_group_name_Hall 'P 1'
loop_
_atom_site_label
_atom_site_type_symbol
_atom_site_fract_x
_atom_site_fract_y
_atom_site_fract_z
Sn1 Sn 0.1468 0.0910 0.3160
Sn2 Sn 0.8532 0.9090 0.6840
Pd1 Pd 0.3558 0.9174 0.6686
Pd2 Pd 0.6442 0.0826 0.3314
Pt1 Pt 0.1266 0.4069 0.6610
Pt2 Pt 0.1268 0.7463 0.0049
Pt3 Pt 0.3689 0.5876 0.3390
Pt4 Pt 0.3827 0.2572 0.9996
Pt5 Pt 0.6173 0.7428 0.0004
Pt6 Pt 0.6311 0.4124 0.6610
Pt7 Pt 0.8732 0.2537 0.9951
Pt8 Pt 0.8734 0.5931 0.3390

***

What should be chosen as the most stable of them? Choose b.

***

a | # PBE SnPd2Pt2, optimized geometry
# Size of the total moment, μB per formula unit: 0.0
data_SnPd2Pt2
_chemical_formula_sum 'Sn1 Pd2 Pt2'
_cell_length_a 5.2641
_cell_length_b 5.2641
_cell_length_c 5.2641
_cell_angle_alpha 122.31
_cell_angle_beta 122.31
_cell_angle_gamma 86.04
_symmetry_space_group_name_H-M 'P 1'
_symmetry_Int_Tables_number 1
_symmetry_space_group_name_Hall 'P 1'
loop_
_atom_site_label
_atom_site_type_symbol
_atom_site_fract_x
_atom_site_fract_y
_atom_site_fract_z
Sn1 Sn 0.0000 0.0000 0.0000
Pd1 Pd 0.2500 0.7500 0.5000
Pd2 Pd 0.7500 0.2500 0.5000
Pt1 Pt 0.3380 0.3380 0.0000
Pt2 Pt 0.6620 0.6620 0.0000

***

b | # PBE SnPd2Pt2, optimized geometry
# Size of the total moment, μB per formula unit: 0.0
data_SnPd2Pt2
_chemical_formula_sum 'Sn2 Pd4 Pt4'
_cell_length_a 6.8458
_cell_length_b 6.8458
_cell_length_c 3.7978
_cell_angle_alpha 90.00
_cell_angle_beta 90.00
_cell_angle_gamma 90.00
_symmetry_space_group_name_H-M 'P 1'
_symmetry_Int_Tables_number 1
_symmetry_space_group_name_Hall 'P 1'
loop_
_atom_site_label
_atom_site_type_symbol
_atom_site_fract_x
_atom_site_fract_y
_atom_site_fract_z
Sn1 Sn 0.0000 0.0000 0.0000
Sn2 Sn 0.5000 0.5000 0.0000
Pd1 Pd 0.1593 0.3407 0.5000
Pd2 Pd 0.3407 0.8407 0.5000
Pd3 Pd 0.6593 0.1593 0.5000
Pd4 Pd 0.8407 0.6593 0.5000
Pt1 Pt 0.1380 0.6380 0.0000
Pt2 Pt 0.3620 0.1380 0.0000
Pt3 Pt 0.6380 0.8620 0.0000
Pt4 Pt 0.8620 0.3620 0.0000

***

c | # PBE SnPd2Pt2, optimized geometry
# Size of the total moment, μB per formula unit: 0.0
data_SnPd2Pt2
_chemical_formula_sum 'Sn1 Pd2 Pt2'
_cell_length_a 4.1127
_cell_length_b 4.8913
_cell_length_c 4.9291
_cell_angle_alpha 79.33
_cell_angle_beta 65.46
_cell_angle_gamma 65.14
_symmetry_space_group_name_H-M 'P 1'
_symmetry_Int_Tables_number 1
_symmetry_space_group_name_Hall 'P 1'
loop_
_atom_site_label
_atom_site_type_symbol
_atom_site_fract_x
_atom_site_fract_y
_atom_site_fract_z
Sn1 Sn 0.0000 0.0000 0.0000
Pd1 Pd 0.1964 0.4040 0.2032
Pd2 Pd 0.8036 0.5960 0.7968
Pt1 Pt 0.4008 0.7980 0.4007
Pt2 Pt 0.5992 0.2020 0.5993

***

d | # PBE SnPd2Pt2, optimized geometry
# Size of the total moment, μB per formula unit: 0.0
data_SnPd2Pt2
_chemical_formula_sum 'Sn1 Pd2 Pt2'
_cell_length_a 7.2851
_cell_length_b 7.2851
_cell_length_c 7.2851
_cell_angle_alpha 151.00
_cell_angle_beta 151.00
_cell_angle_gamma 41.47
_symmetry_space_group_name_H-M 'P 1'
_symmetry_Int_Tables_number 1
_symmetry_space_group_name_Hall 'P 1'
loop_
_atom_site_label
_atom_site_type_symbol
_atom_site_fract_x
_atom_site_fract_y
_atom_site_fract_z
Sn1 Sn 0.0000 0.0000 0.0000
Pd1 Pd 0.2500 0.7500 0.5000
Pd2 Pd 0.7500 0.2500 0.5000
Pt1 Pt 0.4011 0.4011 0.0000
Pt2 Pt 0.5989 0.5989 0.0000

***

What should be chosen as the most stable of them? Choose c.

***

a | # PBE Sn2PdPt3, optimized geometry
# Size of the total moment, μB per formula unit: 0.0
data_Sn2PdPt3
_chemical_formula_sum 'Sn4 Pd2 Pt6'
_cell_length_a 4.0367
_cell_length_b 9.1514
_cell_length_c 5.6665
_cell_angle_alpha 90.00
_cell_angle_beta 90.00
_cell_angle_gamma 90.00
_symmetry_space_group_name_H-M 'P 1'
_symmetry_Int_Tables_number 1
_symmetry_space_group_name_Hall 'P 1'
loop_
_atom_site_label
_atom_site_type_symbol
_atom_site_fract_x
_atom_site_fract_y
_atom_site_fract_z
Sn1 Sn 0.0000 0.1396 0.0000
Sn2 Sn 0.0000 0.8604 0.5000
Sn3 Sn 0.5000 0.3526 0.3374
Sn4 Sn 0.5000 0.6474 0.8374
Pd1 Pd 0.5000 0.0215 0.2686
Pd2 Pd 0.5000 0.9785 0.7686
Pt1 Pt 0.0000 0.1783 0.5174
Pt2 Pt 0.0000 0.4890 0.0599
Pt3 Pt 0.0000 0.5110 0.5599
Pt4 Pt 0.0000 0.8217 0.0174
Pt5 Pt 0.5000 0.3149 0.8338
Pt6 Pt 0.5000 0.6851 0.3338

***

b | # PBE Sn2PdPt3, optimized geometry
# Size of the total moment, μB per formula unit: 0.0
data_Sn2PdPt3
_chemical_formula_sum 'Sn4 Pd2 Pt6'
_cell_length_a 7.6739
_cell_length_b 7.6739
_cell_length_c 7.6739
_cell_angle_alpha 124.34
_cell_angle_beta 72.50
_cell_angle_gamma 137.44
_symmetry_space_group_name_H-M 'P 1'
_symmetry_Int_Tables_number 1
_symmetry_space_group_name_Hall 'P 1'
loop_
_atom_site_label
_atom_site_type_symbol
_atom_site_fract_x
_atom_site_fract_y
_atom_site_fract_z
Sn1 Sn 0.1480 0.1855 0.3335
Sn2 Sn 0.3520 0.6855 0.0375
Sn3 Sn 0.6480 0.3145 0.9625
Sn4 Sn 0.8520 0.8145 0.6665
Pd1 Pd 0.0000 0.5000 0.5000
Pd2 Pd 0.5000 0.0000 0.5000
Pt1 Pt 0.0540 0.7500 0.3040
Pt2 Pt 0.2500 0.2500 0.0000
Pt3 Pt 0.4460 0.7500 0.6960
Pt4 Pt 0.5540 0.2500 0.3040
Pt5 Pt 0.7500 0.7500 0.0000
Pt6 Pt 0.9460 0.2500 0.6960

***

What should be chosen as the most stable of them? Choose a.

***

a | # PBE SnPd3Pt4, optimized geometry
# Size of the total moment, μB per formula unit: 0.0
data_SnPd3Pt4
_chemical_formula_sum 'Sn1 Pd3 Pt4'
_cell_length_a 9.7744
_cell_length_b 9.7744
_cell_length_c 9.7744
_cell_angle_alpha 162.59
_cell_angle_beta 152.30
_cell_angle_gamma 32.91
_symmetry_space_group_name_H-M 'P 1'
_symmetry_Int_Tables_number 1
_symmetry_space_group_name_Hall 'P 1'
loop_
_atom_site_label
_atom_site_type_symbol
_atom_site_fract_x
_atom_site_fract_y
_atom_site_fract_z
Sn1 Sn 0.0000 0.0000 0.0000
Pd1 Pd 0.2493 0.2493 0.0000
Pd2 Pd 0.5000 0.5000 0.0000
Pd3 Pd 0.7507 0.7507 0.0000
Pt1 Pt 0.1234 0.6234 0.5000
Pt2 Pt 0.3713 0.8713 0.5000
Pt3 Pt 0.6287 0.1287 0.5000
Pt4 Pt 0.8766 0.3766 0.5000

***

b | # PBE SnPd3Pt4, optimized geometry
# Size of the total moment, μB per formula unit: 0.0
data_SnPd3Pt4
_chemical_formula_sum 'Sn2 Pd6 Pt8'
_cell_length_a 9.2840
_cell_length_b 5.6535
_cell_length_c 4.8895
_cell_angle_alpha 90.00
_cell_angle_beta 90.00
_cell_angle_gamma 90.00
_symmetry_space_group_name_H-M 'P 1'
_symmetry_Int_Tables_number 1
_symmetry_space_group_name_Hall 'P 1'
loop_
_atom_site_label
_atom_site_type_symbol
_atom_site_fract_x
_atom_site_fract_y
_atom_site_fract_z
Sn1 Sn 0.0000 0.0000 0.0000
Sn2 Sn 0.5000 0.0000 0.0000
Pd1 Pd 0.0000 0.5000 0.0000
Pd2 Pd 0.2500 0.0000 0.3373
Pd3 Pd 0.2500 0.5000 0.3282
Pd4 Pd 0.5000 0.5000 0.0000
Pd5 Pd 0.7500 0.0000 0.6627
Pd6 Pd 0.7500 0.5000 0.6718
Pt1 Pt 0.0000 0.2520 0.5000
Pt2 Pt 0.0000 0.7480 0.5000
Pt3 Pt 0.2500 0.2562 0.8260
Pt4 Pt 0.2500 0.7438 0.8260
Pt5 Pt 0.5000 0.2520 0.5000
Pt6 Pt 0.5000 0.7480 0.5000
Pt7 Pt 0.7500 0.2562 0.1740
Pt8 Pt 0.7500 0.7438 0.1740

***

What should be chosen as the most stable of them? Choose b.